Entry from the Alexandria database: a relaxed Pr2DyIn2Ag2 crystal (PBE-GGA).

Results
space-group type	R-3m
Fermi-level density of states	0.84	states/eV per atom
calculated formation energy	-0.302	eV/atom

Cell: 9.588 9.588 9.588 Å, 29.47 29.47 29.47°
Sites, in units of the cell vectors:
Pr 0.126 0.126 0.126
Pr 0.874 0.874 0.874
Dy 0.000 0.000 0.000
In 0.266 0.266 0.266
In 0.734 0.734 0.734
Ag 0.390 0.390 0.390
Ag 0.610 0.610 0.610


Entry from the Alexandria database: a relaxed NaCuGeS3 crystal (PBE-GGA).

Results
space-group type	P2_1/m
Fermi-level density of states	0.16	states/eV per atom
formation energy from raw total energies	-530	meV per atom

Cell: 7.165 3.770 10.513 Å, 90.00 109.82 90.00°
Sites, in units of the cell vectors:
Na 0.206 0.250 0.294
Na 0.794 0.750 0.706
Cu 0.342 0.250 0.007
Cu 0.658 0.750 0.993
Ge 0.331 0.250 0.708
Ge 0.669 0.750 0.292
S 0.100 0.250 0.799
S 0.337 0.750 0.575
S 0.369 0.750 0.129
S 0.631 0.250 0.871
S 0.663 0.250 0.425
S 0.900 0.750 0.201


Entry from the Alexandria database: a relaxed Ho4Al7Ga6 crystal (PBE-GGA).

Results
space-group type	Im-3m
Fermi-level density of states	0.41	states/eV per atom
calculated formation energy	-0.442	eV/atom

Cell: 7.514 7.514 7.514 Å, 109.47 109.47 109.47°
Sites, in units of the cell vectors:
Ho 0.000 0.000 0.500
Ho 0.000 0.500 0.000
Ho 0.500 0.000 0.000
Ho 0.500 0.500 0.500
Al 0.000 0.000 0.000
Al 0.250 0.500 0.750
Al 0.250 0.750 0.500
Al 0.500 0.250 0.750
Al 0.500 0.750 0.250
Al 0.750 0.250 0.500
Al 0.750 0.500 0.250
Ga 0.000 0.308 0.308
Ga 0.000 0.692 0.692
Ga 0.308 0.000 0.308
Ga 0.308 0.308 0.000
Ga 0.692 0.000 0.692
Ga 0.692 0.692 0.000


Entry from the Alexandria database: a relaxed PrTmTlNi crystal (PBE-GGA).

Results
space-group type	F-43m
Fermi-level density of states	1.18	states/eV per atom
calculated formation energy	-0.195	eV/atom

Cell: 5.194 5.194 5.194 Å, 60.00 60.00 60.00°
Sites, in units of the cell vectors:
Pr 0.000 0.000 0.000
Tm 0.500 0.500 0.500
Tl 0.250 0.250 0.250
Ni 0.750 0.750 0.750


Entry from the Alexandria database: a relaxed ZrPa2 crystal (PBE-GGA).

Results
space-group type	C2/m
Fermi-level density of states	1.83	states/eV per atom
calculated formation energy	0.105	eV/atom
energy above the lowest structure with this stoichiometry	0.041	eV per atom

Cell: 6.415 6.415 9.376 Å, 124.83 124.83 28.25°
Sites, in units of the cell vectors:
Zr 0.132 0.132 0.179
Zr 0.868 0.868 0.821
Pa 0.120 0.120 0.499
Pa 0.379 0.379 0.162
Pa 0.621 0.621 0.838
Pa 0.880 0.880 0.501


Entry from the Alexandria database: a relaxed TaPt3Rh6 crystal (PBE-GGA).

Results
space-group type	P2_1/m
Fermi-level density of states	1.18	states/eV per atom
calculated formation energy	-0.229	eV/atom

Cell: 8.726 3.921 8.753 Å, 90.00 90.39 90.00°
Sites, in units of the cell vectors:
Ta 0.059 0.250 0.383
Ta 0.941 0.750 0.617
Pt 0.251 0.250 0.998
Pt 0.348 0.750 0.800
Pt 0.450 0.250 0.601
Pt 0.550 0.750 0.399
Pt 0.652 0.250 0.200
Pt 0.749 0.750 0.002
Rh 0.047 0.750 0.901
Rh 0.140 0.250 0.694
Rh 0.153 0.750 0.204
Rh 0.238 0.750 0.500
Rh 0.348 0.250 0.302
Rh 0.449 0.750 0.100
Rh 0.551 0.250 0.900
Rh 0.652 0.750 0.698
Rh 0.762 0.250 0.500
Rh 0.847 0.250 0.796
Rh 0.860 0.750 0.306
Rh 0.953 0.250 0.099


Entry from the Alexandria database: a relaxed BaPaNiN2 crystal (PBE-GGA).

Results
space-group type	P2/c
Fermi-level density of states	0.53	states/eV per atom
formation energy from raw total energies	-782	meV per atom

Cell: 6.125 4.518 7.003 Å, 90.00 102.53 90.00°
Sites, in units of the cell vectors:
Ba 0.000 0.143 0.250
Ba 0.000 0.857 0.750
Pa 0.500 0.477 0.750
Pa 0.500 0.523 0.250
Ni 0.500 0.000 0.000
Ni 0.500 0.000 0.500
N 0.291 0.336 0.966
N 0.291 0.664 0.466
N 0.709 0.336 0.534
N 0.709 0.664 0.034


Entry from the Alexandria database: a relaxed Pb6Se2S3Br crystal (PBE-GGA).

Results
space-group type	C2/m
Fermi-level density of states	0.26	states/eV per atom
formation energy from raw total energies	-520	meV per atom

Cell: 9.744 9.744 8.663 Å, 103.39 103.39 26.03°
Sites, in units of the cell vectors:
Pb 0.003 0.003 0.223
Pb 0.323 0.323 0.417
Pb 0.331 0.331 0.911
Pb 0.669 0.669 0.089
Pb 0.677 0.677 0.583
Pb 0.997 0.997 0.777
Se 0.165 0.165 0.833
Se 0.835 0.835 0.167
S 0.168 0.168 0.334
S 0.500 0.500 0.000
S 0.832 0.832 0.666
Br 0.500 0.500 0.500


Entry from the Alexandria database: a relaxed SrDy2In2Hg2 crystal (PBE-GGA).

Results
space-group type	R-3m
Fermi-level density of states	0.34	states/eV per atom
calculated formation energy	-0.339	eV/atom

Cell: 9.937 9.937 9.937 Å, 29.25 29.25 29.25°
Sites, in units of the cell vectors:
Sr 0.000 0.000 0.000
Dy 0.134 0.134 0.134
Dy 0.866 0.866 0.866
In 0.257 0.257 0.257
In 0.743 0.743 0.743
Hg 0.437 0.437 0.437
Hg 0.563 0.563 0.563


Entry from the Alexandria database: a relaxed KY2BTe crystal (PBE-GGA).

Results
space-group type	P4/mmm
Fermi-level density of states	0.61	states/eV per atom
formation energy from raw total energies	-129	meV per atom

Cell: 5.023 5.023 5.675 Å, 90.00 90.00 90.00°
Sites, in units of the cell vectors:
K 0.000 0.000 0.000
Y 0.000 0.500 0.500
Y 0.500 0.000 0.500
B 0.000 0.000 0.500
Te 0.500 0.500 0.000


Entry from the Alexandria database: a relaxed Pm2Pr3Y crystal (PBE-GGA).

Results
space-group type	C2/m
Fermi-level density of states	1.72	states/eV per atom
calculated formation energy	0.103	eV/atom
energy above the lowest structure with this stoichiometry	0.051	eV per atom

Cell: 7.002 7.002 17.958 Å, 101.83 101.83 29.76°
Sites, in units of the cell vectors:
Pm 0.131 0.131 0.000
Pm 0.301 0.301 0.665
Pm 0.699 0.699 0.335
Pm 0.869 0.869 0.000
Pr 0.126 0.126 0.491
Pr 0.229 0.229 0.836
Pr 0.437 0.437 0.333
Pr 0.563 0.563 0.667
Pr 0.771 0.771 0.164
Pr 0.874 0.874 0.509
Y 0.042 0.042 0.180
Y 0.958 0.958 0.820


Entry from the Alexandria database: a relaxed Ce4Se5S crystal (PBE-GGA).

Results
space-group type	C2/m
Fermi-level density of states	2.50	states/eV per atom
formation energy from raw total energies	-1756	meV per atom

Cell: 9.467 9.467 8.193 Å, 107.75 107.75 25.88°
Sites, in units of the cell vectors:
Ce 0.002 0.002 0.252
Ce 0.323 0.323 0.871
Ce 0.677 0.677 0.129
Ce 0.998 0.998 0.748
Se 0.164 0.164 0.354
Se 0.164 0.164 0.870
Se 0.500 0.500 0.500
Se 0.836 0.836 0.130
Se 0.836 0.836 0.646
S 0.500 0.500 0.000


What did the fifth record say?
Entry from the Alexandria database: a relaxed ZrPa2 crystal (PBE-GGA).

Results
space-group type	C2/m
Fermi-level density of states	1.83	states/eV per atom
calculated formation energy	0.105	eV/atom
energy above the lowest structure with this stoichiometry	0.041	eV per atom

Cell: 6.415 6.415 9.376 Å, 124.83 124.83 28.25°
Sites, in units of the cell vectors:
Zr 0.132 0.132 0.179
Zr 0.868 0.868 0.821
Pa 0.120 0.120 0.499
Pa 0.379 0.379 0.162
Pa 0.621 0.621 0.838
Pa 0.880 0.880 0.501